1.
A relaxed ZrOs2Au crystal, computed with PBE-GGA.

Properties
- space-group type = Imm2
- ΔE_f (meV per atom) = 28
- calculated volume (Å³/cell) = 66
- ΔE to the lowest computed polymorph (meV/atom) = 84

Cell lengths 4.985, 4.985, 4.985 Å; angles 133.16, 131.43, 69.77 degrees
Sites, in units of the cell vectors:
Os 0.993 0.993 0.000
Au 0.246 0.746 0.500
Zr 0.500 0.500 0.000
Os 0.761 0.261 0.500

2.
A relaxed ZrOsAu2 crystal, computed with PBE-GGA.

Properties
- space-group type = I-42d
- ΔE_f (meV per atom) = 175
- calculated volume (Å³/cell) = 152
- ΔE to the lowest computed polymorph (meV/atom) = 360

Cell lengths 3.884, 3.884, 10.457 Å; angles 79.30, 79.30, 90.00 degrees
Sites, in units of the cell vectors:
Au 0.635 0.125 0.250
Os 0.750 0.250 0.500
Au 0.115 0.625 0.250
Au 0.875 0.885 0.750
Zr 0.500 0.500 0.000
Au 0.375 0.365 0.750
Zr 0.250 0.750 0.500
Os 0.000 0.000 0.000

3.
A relaxed ZrOs2Au crystal, computed with PBE-GGA.

Properties
- space-group type = P4/mmm
- ΔE_f (meV per atom) = 255
- calculated volume (Å³/cell) = 68
- ΔE to the lowest computed polymorph (meV/atom) = 311

Cell lengths 3.385, 3.385, 5.919 Å; angles 90.00, 90.00, 90.00 degrees
Sites, in units of the cell vectors:
Au 0.500 0.500 0.750
Os 0.000 0.000 0.507
Os 0.000 0.000 0.993
Zr 0.500 0.500 0.250

4.
A relaxed ZrOs4Au crystal, computed with PBE-GGA.

Properties
- space-group type = F-43m
- ΔE_f (meV per atom) = 188
- calculated volume (Å³/cell) = 100

Cell lengths 5.218, 5.218, 5.218 Å; angles 60.00, 60.00, 60.00 degrees
Sites, in units of the cell vectors:
Au 0.000 0.000 0.000
Os 0.625 0.625 0.124
Zr 0.250 0.250 0.250
Os 0.625 0.625 0.625
Os 0.124 0.625 0.625
Os 0.625 0.124 0.625

5.
A relaxed ZrOsAu2 crystal, computed with PBE-GGA.

Properties
- space-group type = Fm-3m
- ΔE_f (meV per atom) = 110
- calculated volume (Å³/cell) = 72
- ΔE to the lowest computed polymorph (meV/atom) = 295

Cell lengths 4.662, 4.662, 4.662 Å; angles 60.00, 60.00, 60.00 degrees
Sites, in units of the cell vectors:
Au 0.250 0.250 0.250
Zr 0.000 0.000 0.000
Au 0.750 0.750 0.750
Os 0.500 0.500 0.500

6.
A relaxed Zr2OsAu crystal, computed with PBE-GGA.

Properties
- space-group type = R-3m
- ΔE_f (meV per atom) = -181
- calculated volume (Å³/cell) = 81

Cell lengths 8.477, 8.477, 8.477 Å; angles 22.90, 22.90, 22.90 degrees
Sites, in units of the cell vectors:
Os 0.750 0.750 0.750
Au 0.250 0.250 0.250
Zr 0.494 0.494 0.494
Zr 0.006 0.006 0.006

Q: Look up the ΔE_f of the sixth one.
A: -181 meV per atom

Q: Which formula does entry 5 have?
A: ZrOsAu2